Entry 1:
P2IrW | PBE-GGA | relaxed

Structure (extended XYZ):
```
4
Lattice="-2.349 -5.770 -4.411 -1.892 -7.176 -1.787 -4.488 -5.734 -2.291" Properties=species:S:1:pos:R:3 pbc="T T T"
P -8.727 -18.674 -8.487
P -2.199 -4.705 -2.138
Ir -6.454 -13.812 -6.277
W -4.444 -9.510 -4.322
```

Space group: R3m
Energy of formation, eV per atom: -0.01
E, eV per atom: -8.173

=====

Entry 2:
PIr3W | PBE-GGA | relaxed

Structure (extended XYZ):
```
5
Lattice="4.746 0.000 0.000 0.000 4.746 0.000 0.000 0.000 4.746" Properties=species:S:1:pos:R:3 pbc="T T T"
Ir 2.373 0.000 0.000
Ir 0.000 0.000 2.373
P 2.373 2.373 2.373
Ir 0.000 2.373 0.000
W 0.000 0.000 0.000
```

E above lowest polymorph, meV per atom: 967.1
Space group: Pm-3m
Energy of formation, eV per atom: 1.95
E, eV per atom: -7.044

=====

Entry 3:
PIr2W | PBE-GGA | relaxed

Structure (extended XYZ):
```
4
Lattice="-2.544 0.636 1.029 -1.910 -1.340 -3.894 -0.391 -4.230 1.647" Properties=species:S:1:pos:R:3 pbc="T T T"
Ir -1.467 -1.797 1.338
Ir 0.000 0.000 0.000
W -1.151 -2.785 -1.123
P -2.227 -0.352 -1.433
```

Space group: Pmmm
Energy of formation, eV per atom: 0.10
E, eV per atom: -8.919

=====

Entry 4:
P2IrW | PBE-GGA | relaxed

Structure (extended XYZ):
```
4
Lattice="3.277 0.000 0.000 0.000 3.277 0.000 0.000 0.000 5.289" Properties=species:S:1:pos:R:3 pbc="T T T"
W 0.000 0.000 2.360
Ir 1.639 1.639 4.339
P 0.000 0.000 5.076
P 1.639 1.639 1.449
```

Space group: P4mm
Energy of formation, eV per atom: -0.13
E, eV per atom: -8.290

=====

Entry 5:
PIr2W | PBE-GGA | relaxed

Structure (extended XYZ):
```
4
Lattice="-0.429 1.940 2.090 -2.808 0.080 -0.650 -1.180 -5.074 4.467" Properties=species:S:1:pos:R:3 pbc="T T T"
Ir -1.967 -0.489 2.039
Ir -1.158 -4.979 4.383
W -2.477 -2.683 3.971
P -0.585 -2.514 2.213
```

Space group: P4mm
Energy of formation, eV per atom: -0.15
E, eV per atom: -9.175

=====

Entry 6:
PIr2W | PBE-GGA | relaxed

Structure (extended XYZ):
```
4
Lattice="8.373 -1.413 -0.003 8.373 1.413 -0.003 8.136 0.000 2.433" Properties=species:S:1:pos:R:3 pbc="T T T"
W 0.000 0.000 0.000
P 12.441 0.000 1.213
Ir 18.849 0.000 1.838
Ir 6.033 0.000 0.588
```

Space group: R-3m
Energy of formation, eV per atom: -0.10
E, eV per atom: -9.117

=====

Entry 7:
PIr2W | PBE-GGA | relaxed

Structure (extended XYZ):
```
4
Lattice="-1.179 -1.604 -2.038 1.909 -3.079 1.319 -4.065 -1.131 3.242" Properties=species:S:1:pos:R:3 pbc="T T T"
P 0.365 -2.342 -0.360
Ir -3.049 -0.848 2.431
W -1.668 -2.907 1.261
Ir -1.017 -0.283 0.811
```

Space group: Pmmm
Energy of formation, eV per atom: -0.01
E, eV per atom: -9.030

=====

Entry 8:
YP2Ir | PBE-GGA | relaxed

Structure (extended XYZ):
```
4
Lattice="4.792 -0.004 -0.007 -0.083 4.791 0.007 -1.465 -3.268 3.183" Properties=species:S:1:pos:R:3 pbc="T T T"
Ir 0.403 1.958 1.595
P 0.238 0.242 0.000
P 2.116 2.151 0.000
Y 2.840 -0.439 1.588
```

E above lowest polymorph, meV per atom: 224.5
Space group: Immm
Energy of formation, eV per atom: -0.77
E, eV per atom: -7.307

=====

Entry 9:
YPIr | PBE-GGA | relaxed

Structure (extended XYZ):
```
6
Lattice="-1.671 1.846 3.317 0.763 -2.897 4.590 3.843 3.124 2.790" Properties=species:S:1:pos:R:3 pbc="T T T"
P 0.082 0.830 4.766
P 2.853 1.244 5.932
Ir 2.786 1.730 8.221
Ir 0.148 0.344 2.477
Y 0.183 0.350 7.678
Y 2.751 1.724 3.020
```

Space group: C2/m
Energy of formation, eV per atom: -1.03
E, eV per atom: -7.945

=====

Entry 10:
YP2Ir | PBE-GGA | relaxed

Structure (extended XYZ):
```
4
Lattice="4.178 0.000 0.000 0.000 4.241 -0.015 0.000 0.394 4.447" Properties=species:S:1:pos:R:3 pbc="T T T"
Ir 2.089 4.367 3.319
P 2.089 0.631 1.127
P 0.000 4.262 4.380
Y 0.000 2.328 2.253
```

E above lowest polymorph, meV per atom: 277.1
Space group: Pm
Energy of formation, eV per atom: -0.72
E, eV per atom: -7.255

=====

Entry 11:
YP2Ir | PBE-GGA | relaxed

Structure (extended XYZ):
```
4
Lattice="3.214 0.000 0.000 0.000 4.546 0.000 0.000 0.000 4.546" Properties=species:S:1:pos:R:3 pbc="T T T"
P 0.000 2.273 2.273
Y 1.607 2.273 0.000
P 0.000 0.000 0.000
Ir 1.607 0.000 2.273
```

E above lowest polymorph, meV per atom: 544.3
Space group: P4/mmm
Energy of formation, eV per atom: -0.45
E, eV per atom: -6.987

=====

Entry 12:
Y2PIr | PBE-GGA | relaxed

Structure (extended XYZ):
```
4
Lattice="-1.270 3.164 0.897 -2.997 -0.853 -1.236 -2.158 -2.609 6.150" Properties=species:S:1:pos:R:3 pbc="T T T"
Ir -2.134 1.156 -0.170
Y -1.685 -1.975 4.581
P -3.212 -0.149 2.905
Y -3.470 -1.487 0.332
```

Space group: P2/m
Energy of formation, eV per atom: -0.92
E, eV per atom: -7.719